Entry 1:
DFT (GGA-PBE) results for HgTe2Pt after structural relaxation.

Raw total energy, eV per atom: -3.1624
E_form (uncorrected), meV/atom: -6
Fermi-level density of states, states/eV per atom: 0.669
Spin magnetization, μB per formula unit: 0.00

The structure in CIF format:
```
data_HgTe2Pt
_chemical_formula_sum 'Hg1 Te2 Pt1'
_cell_length_a 4.906
_cell_length_b 3.985
_cell_length_c 6.082
_cell_angle_alpha 90.00
_cell_angle_beta 93.03
_cell_angle_gamma 90.00
_space_group_name_H-M_alt 'P 1 m 1'
_space_group_IT_number 6
loop_
_space_group_symop_operation_xyz
'x,y,z'
'x,-y,z'
loop_
_atom_site_label
_atom_site_type_symbol
_atom_site_fract_x
_atom_site_fract_y
_atom_site_fract_z
Hg1 Hg 0.000 0.000 0.000
Te1 Te 0.359 0.000 0.531
Te2 Te 0.623 0.500 0.159
Pt1 Pt 0.310 0.500 0.804
```

Entry 2:
DFT (GGA-PBE) results for Pm3Nd6Th after structural relaxation.

Distance to the lowest polymorph of the same formula, eV/atom: 0.120
Raw total energy, eV per atom: -4.8279
Fermi-level density of states, states/eV per atom: 1.364
Spin magnetization, μB per formula unit: 0.00
DFT formation energy, eV/atom: 0.200

The structure in CIF format:
```
data_Pm3Nd6Th
_chemical_formula_sum 'Pm6 Nd12 Th2'
_cell_length_a 5.122
_cell_length_b 11.093
_cell_length_c 12.733
_cell_angle_alpha 90.00
_cell_angle_beta 91.29
_cell_angle_gamma 90.00
_space_group_name_H-M_alt 'P 1 21/c 1'
_space_group_IT_number 14
loop_
_space_group_symop_operation_xyz
'x,y,z'
'-x,-y,-z'
'-x,y+1/2,-z+1/2'
'x,-y+1/2,z+1/2'
loop_
_atom_site_label
_atom_site_type_symbol
_atom_site_fract_x
_atom_site_fract_y
_atom_site_fract_z
Pm1 Pm 0.000 0.000 0.000
Pm2 Pm 0.010 0.161 0.635
Nd1 Nd 0.010 0.664 0.139
Nd2 Nd 0.488 0.504 0.722
Nd3 Nd 0.500 0.197 0.003
Th1 Th 0.500 0.000 0.500
```

Entry 3:
DFT (GGA-PBE) results for Tm2Be4Si3Os after structural relaxation.

Raw total energy, eV per atom: -5.5564
E_form (uncorrected), meV/atom: -422
Fermi-level density of states, states/eV per atom: 0.362
Spin magnetization, μB per formula unit: 0.00

The structure in CIF format:
```
data_Tm2Be4Si3Os
_chemical_formula_sum 'Tm2 Be4 Si3 Os1'
_cell_length_a 3.760
_cell_length_b 3.760
_cell_length_c 9.928
_cell_angle_alpha 90.00
_cell_angle_beta 90.00
_cell_angle_gamma 90.00
_space_group_name_H-M_alt 'P -4 m 2'
_space_group_IT_number 115
loop_
_space_group_symop_operation_xyz
'x,y,z'
'y,-x,-z'
'-x,-y,z'
'-y,x,-z'
'-x,y,z'
'-y,-x,-z'
'x,-y,z'
'y,x,-z'
loop_
_atom_site_label
_atom_site_type_symbol
_atom_site_fract_x
_atom_site_fract_y
_atom_site_fract_z
Tm1 Tm 0.000 0.500 0.247
Be1 Be 0.000 0.000 0.000
Be2 Be 0.000 0.500 0.638
Be3 Be 0.500 0.500 0.000
Si1 Si 0.000 0.500 0.867
Si2 Si 0.500 0.500 0.500
Os1 Os 0.000 0.000 0.500
```

Entry 4:
DFT (GGA-PBE) results for Er4CoSe3 after structural relaxation.

Raw total energy, eV per atom: -5.7927
E_form (uncorrected), meV/atom: -1316
Fermi-level density of states, states/eV per atom: 0.776
Spin magnetization, μB per formula unit: 0.00

The structure in CIF format:
```
data_Er4CoSe3
_chemical_formula_sum 'Er8 Co2 Se6'
_cell_length_a 8.311
_cell_length_b 11.463
_cell_length_c 3.909
_cell_angle_alpha 90.00
_cell_angle_beta 90.00
_cell_angle_gamma 90.00
_space_group_name_H-M_alt 'C m m m'
_space_group_IT_number 65
_space_group_name_Hall '-C 2 2'
loop_
_atom_site_label
_atom_site_type_symbol
_atom_site_fract_x
_atom_site_fract_y
_atom_site_fract_z
Er1 Er 0.000 0.233 0.000
Er2 Er 0.220 0.000 0.500
Co1 Co 0.000 0.000 0.000
Se1 Se 0.000 0.500 0.000
Se2 Se 0.250 0.250 0.500
```

Entry 5:
DFT (GGA-PBE) results for LaTl2Cd after structural relaxation.

Raw total energy, eV per atom: -2.8303
Fermi-level density of states, states/eV per atom: 0.744
Spin magnetization, μB per formula unit: 0.20
DFT formation energy, eV/atom: -0.187

The structure in CIF format:
```
data_LaTl2Cd
_chemical_formula_sum 'La1 Tl2 Cd1'
_cell_length_a 3.435
_cell_length_b 5.298
_cell_length_c 6.420
_cell_angle_alpha 90.00
_cell_angle_beta 94.71
_cell_angle_gamma 90.00
_space_group_name_H-M_alt 'P 1 m 1'
_space_group_IT_number 6
loop_
_space_group_symop_operation_xyz
'x,y,z'
'x,-y,z'
loop_
_atom_site_label
_atom_site_type_symbol
_atom_site_fract_x
_atom_site_fract_y
_atom_site_fract_z
La1 La 0.000 0.000 0.000
Tl1 Tl 0.446 0.000 0.510
Tl2 Tl 0.613 0.500 0.248
Cd1 Cd 0.448 0.500 0.756
```

Entry 6:
DFT (GGA-PBE) results for TaTc2Sb after structural relaxation.

Raw total energy, eV per atom: -8.3880
E_form (uncorrected), meV/atom: 789
Fermi-level density of states, states/eV per atom: 1.186
Spin magnetization, μB per formula unit: 0.00

The structure in CIF format:
```
data_TaTc2Sb
_chemical_formula_sum 'Ta2 Tc4 Sb2'
_cell_length_a 2.884
_cell_length_b 4.770
_cell_length_c 10.825
_cell_angle_alpha 90.00
_cell_angle_beta 90.00
_cell_angle_gamma 90.00
_space_group_name_H-M_alt 'I m m m'
_space_group_IT_number 71
_space_group_name_Hall '-I 2 2'
loop_
_atom_site_label
_atom_site_type_symbol
_atom_site_fract_x
_atom_site_fract_y
_atom_site_fract_z
Ta1 Ta 0.000 0.000 0.000
Tc1 Tc 0.000 0.000 0.238
Sb1 Sb 0.000 0.000 0.500
```

Entry 7:
DFT (GGA-PBE) results for Ho6Ge2Sb3Te after structural relaxation.

Raw total energy, eV per atom: -5.3918
E_form (uncorrected), meV/atom: -1041
Fermi-level density of states, states/eV per atom: 0.292
Spin magnetization, μB per formula unit: 0.00

The structure in CIF format:
```
data_Ho6Ge2Sb3Te
_chemical_formula_sum 'Ho12 Ge4 Sb6 Te2'
_cell_length_a 18.748
_cell_length_b 4.269
_cell_length_c 8.607
_cell_angle_alpha 90.00
_cell_angle_beta 103.45
_cell_angle_gamma 90.00
_space_group_name_H-M_alt 'C 1 2/m 1'
_space_group_IT_number 12
loop_
_space_group_symop_operation_xyz
'x,y,z'
'-x,-y,-z'
'-x,y,-z'
'x,-y,z'
'x+1/2,y+1/2,z'
'-x+1/2,-y+1/2,-z'
'-x+1/2,y+1/2,-z'
'x+1/2,-y+1/2,z'
loop_
_atom_site_label
_atom_site_type_symbol
_atom_site_fract_x
_atom_site_fract_y
_atom_site_fract_z
Ho1 Ho 0.009 0.000 0.260
Ho2 Ho 0.171 0.500 0.100
Ho3 Ho 0.171 0.500 0.575
Ge1 Ge 0.167 0.000 0.334
Sb1 Sb 0.000 0.500 0.500
Sb2 Sb 0.162 0.000 0.833
Te1 Te 0.000 0.500 0.000
```

Entry 8:
DFT (GGA-PBE) results for Sr2SiPt after structural relaxation.

Raw total energy, eV per atom: -4.4406
E_form (uncorrected), meV/atom: -734
Fermi-level density of states, states/eV per atom: 0.726
Spin magnetization, μB per formula unit: 0.00

The structure in CIF format:
```
data_Sr2SiPt
_chemical_formula_sum 'Sr6 Si3 Pt3'
_cell_length_a 4.2863
_cell_length_b 4.2863
_cell_length_c 24.6044
_cell_angle_alpha 90.00
_cell_angle_beta 90.00
_cell_angle_gamma 120.00
_space_group_name_H-M_alt 'R 3 m'
_space_group_IT_number 160
_space_group_name_Hall 'R 3 -2"'
loop_
_atom_site_label
_atom_site_type_symbol
_atom_site_fract_x
_atom_site_fract_y
_atom_site_fract_z
Sr1 Sr 0.0000 0.0000 0.0000
Sr2 Sr 0.0000 0.0000 0.1686
Si1 Si 0.0000 0.0000 0.4176
Pt1 Pt 0.0000 0.0000 0.7511
```

Entry 9:
DFT (GGA-PBE) results for PdAu6 after structural relaxation.

Distance to the lowest polymorph of the same formula, eV/atom: 0.898
Raw total energy, eV per atom: -2.6685
Fermi-level density of states, states/eV per atom: 1.362
Spin magnetization, μB per formula unit: 0.22
DFT formation energy, eV/atom: 0.882

The structure in CIF format:
```
data_PdAu6
_chemical_formula_sum 'Pd2 Au12'
_cell_length_a 7.439
_cell_length_b 7.439
_cell_length_c 7.439
_cell_angle_alpha 90.00
_cell_angle_beta 90.00
_cell_angle_gamma 90.00
_space_group_name_H-M_alt 'I m -3 m'
_space_group_IT_number 229
_space_group_name_Hall '-I 4 2 3'
loop_
_atom_site_label
_atom_site_type_symbol
_atom_site_fract_x
_atom_site_fract_y
_atom_site_fract_z
Pd1 Pd 0.000 0.000 0.000
Au1 Au 0.000 0.250 0.500
```

Entry 10:
DFT (GGA-PBE) results for RbY2MgS after structural relaxation.

Raw total energy, eV per atom: -3.2774
E_form (uncorrected), meV/atom: 646
Fermi-level density of states, states/eV per atom: 1.110
Spin magnetization, μB per formula unit: 0.00

The structure in CIF format:
```
data_RbY2MgS
_chemical_formula_sum 'Rb1 Y2 Mg1 S1'
_cell_length_a 5.683
_cell_length_b 5.683
_cell_length_c 6.181
_cell_angle_alpha 90.00
_cell_angle_beta 90.00
_cell_angle_gamma 90.00
_space_group_name_H-M_alt 'P 4/m m m'
_space_group_IT_number 123
_space_group_name_Hall '-P 4 2'
loop_
_atom_site_label
_atom_site_type_symbol
_atom_site_fract_x
_atom_site_fract_y
_atom_site_fract_z
Rb1 Rb 0.000 0.000 0.000
Y1 Y 0.000 0.500 0.500
Mg1 Mg 0.000 0.000 0.500
S1 S 0.500 0.500 0.000
```

Entry 11:
DFT (GGA-PBE) results for PrNd8Dy3 after structural relaxation.

Raw total energy, eV per atom: -4.7136
Fermi-level density of states, states/eV per atom: 1.438
Spin magnetization, μB per formula unit: 0.00
DFT formation energy, eV/atom: 0.014

The structure in CIF format:
```
data_PrNd8Dy3
_chemical_formula_sum 'Pr1 Nd8 Dy3'
_cell_length_a 6.311
_cell_length_b 6.319
_cell_length_c 10.950
_cell_angle_alpha 106.56
_cell_angle_beta 90.18
_cell_angle_gamma 99.53
_space_group_name_H-M_alt 'P 1'
_space_group_IT_number 1
loop_
_space_group_symop_operation_xyz
'x,y,z'
loop_
_atom_site_label
_atom_site_type_symbol
_atom_site_fract_x
_atom_site_fract_y
_atom_site_fract_z
Pr1 Pr 0.000 0.000 0.000
Nd1 Nd 0.001 0.002 0.337
Nd2 Nd 0.250 0.504 0.587
Nd3 Nd 0.251 0.503 0.251
Nd4 Nd 0.253 0.501 0.917
Nd5 Nd 0.501 0.006 0.505
Nd6 Nd 0.502 0.005 0.835
Nd7 Nd 0.503 0.003 0.169
Nd8 Nd 0.751 0.505 0.420
Dy1 Dy 0.752 0.502 0.084
Dy2 Dy 0.753 0.504 0.753
Dy3 Dy 0.999 0.004 0.669
```

Entry 12:
DFT (GGA-PBE) results for ZnB3C after structural relaxation.

Distance to the lowest polymorph of the same formula, eV/atom: 1.291
Raw total energy, eV per atom: -3.0399
Fermi-level density of states, states/eV per atom: 0.575
Spin magnetization, μB per formula unit: 0.85
DFT formation energy, eV/atom: 3.066

The structure in CIF format:
```
data_ZnB3C
_chemical_formula_sum 'Zn1 B3 C1'
_cell_length_a 3.937
_cell_length_b 3.937
_cell_length_c 3.937
_cell_angle_alpha 90.00
_cell_angle_beta 90.00
_cell_angle_gamma 90.00
_space_group_name_H-M_alt 'P m -3 m'
_space_group_IT_number 221
_space_group_name_Hall '-P 4 2 3'
loop_
_atom_site_label
_atom_site_type_symbol
_atom_site_fract_x
_atom_site_fract_y
_atom_site_fract_z
Zn1 Zn 0.000 0.000 0.000
B1 B 0.000 0.000 0.500
C1 C 0.500 0.500 0.500
```